No. 1
Sr4CaIn5 (PBE, optimized geometry); DOS at the Fermi energy = 0.7331 states/eV per atom; V = 327.8 Å³ per cell; symmetry = P4/mmm; mass density = 4.89 g cm⁻³; DFT formation energy = -0.437 eV/atom
1.0
4.058 0.000 0.000
0.000 4.058 0.000
0.000 0.000 19.910
Sr In Ca
4 5 1
Cartesian
0.000 0.000 3.851 Sr
0.000 0.000 7.926 Sr
0.000 0.000 16.059 Sr
0.000 0.000 11.984 Sr
2.029 2.029 1.746 In
2.029 2.029 5.912 In
2.029 2.029 9.955 In
2.029 2.029 13.998 In
2.029 2.029 18.164 In
0.000 0.000 0.000 Ca


No. 2
NaAu3O (PBE, optimized geometry); DOS at the Fermi energy = 0.2145 states/eV per atom; raw formation energy = 0.107 eV/atom; energy relative to the lowest polymorph listed for this composition = 0 meV/atom; V = 97.0 Å³ per cell; symmetry = Pm-3m; mass density = 10.78 g cm⁻³
1.0
4.595 0.000 0.000
0.000 4.595 0.000
0.000 0.000 4.595
Na O Au
1 1 3
Cartesian
2.297 2.297 2.297 Na
0.000 0.000 0.000 O
0.000 2.297 0.000 Au
0.000 0.000 2.297 Au
2.297 0.000 0.000 Au


No. 3
CsHgBi (PBE, optimized geometry); DOS at the Fermi energy = 0.2872 states/eV per atom; V = 256.1 Å³ per cell; symmetry = C2/m; mass density = 7.03 g cm⁻³; DFT formation energy = -0.259 eV/atom
1.0
13.712 0.000 0.050
5.852 2.229 -4.168
-5.852 2.229 4.168
Cs Hg Bi
2 2 2
Cartesian
6.856 0.000 0.025 Cs
0.000 2.229 0.000 Cs
4.988 2.229 2.905 Hg
8.724 2.229 -2.855 Hg
3.708 2.229 -1.383 Bi
10.004 2.229 1.432 Bi